Entry from the Alexandria database: a relaxed structure of Hf4CN2 (GGA-PBE).

Summary:
**Magnetization**: 0.000 Bohr magnetons per cell
**Distance to the lowest polymorph of the same formula**: 877 meV/atom
**E_form (uncorrected)**: -390 meV per atom
**Total DFT energy (no corrections)**: -68.42 eV per formula unit

a b c (Å): 4.3396 4.3396 11.6674
angles (deg): 90.00 90.00 90.00
With the nearest neighbours (Å) after each atom.
Space group I4/mmm (No. 139)
Unique sites:
Hf1 0.0000 0.0000 0.2337  1 N 1.94
Hf2 0.0000 0.5000 0.0000  2 C 2.17
C1 0.0000 0.0000 0.0000  4 Hf 2.17
N1 0.0000 0.0000 0.4004  1 Hf 1.94

***

Entry from the Alexandria database: a relaxed structure of Hf2CN (GGA-PBE).

Summary:
**Magnetization**: 0.000 Bohr magnetons per cell
**Distance to the lowest polymorph of the same formula**: 0 meV/atom
**E_form (uncorrected)**: -1415 meV per atom
**Total DFT energy (no corrections)**: -43.11 eV per formula unit

a b c (Å): 3.2533 3.2533 15.9028
angles (deg): 90.00 90.00 120.00
With the nearest neighbours (Å) after each atom.
Space group R-3m (No. 166, hexagonal axes)
Unique sites:
Hf1 0.0000 0.0000 0.2488  3 C 2.29, 3 N 2.31
C1 0.0000 0.0000 0.5000  6 Hf 2.29
N1 0.0000 0.0000 0.0000  6 Hf 2.31

***

Entry from the Alexandria database: a relaxed structure of Hf5CN4 (GGA-PBE).

Summary:
**Magnetization**: 0.000 Bohr magnetons per cell
**E_form (uncorrected)**: -1632 meV per atom
**Total DFT energy (no corrections)**: -108.61 eV per formula unit

a b c (Å): 7.2156 7.2156 4.5571
angles (deg): 90.00 90.00 90.00
With the nearest neighbours (Å) after each atom.
Space group I4/m (No. 87)
Unique sites:
Hf1 0.0000 0.0000 0.0000  2 C 2.28, 4 N 2.29
Hf2 0.0979 0.7028 0.5000  1 C 2.26, 5 N 2.27-2.31
C1 0.0000 0.0000 0.5000  6 Hf 2.26-2.28
N1 0.1003 0.6992 0.0000  6 Hf 2.27-2.31

***

Entry from the Alexandria database: a relaxed structure of Hf6C2N (GGA-PBE).

Summary:
**Magnetization**: 0.000 Bohr magnetons per cell
**Distance to the lowest polymorph of the same formula**: 353 meV/atom
**E_form (uncorrected)**: -499 meV per atom
**Total DFT energy (no corrections)**: -90.98 eV per formula unit

a b c (Å): 10.6385 4.3608 7.1575
angles (deg): 90.00 113.35 90.00
With the nearest neighbours (Å) after each atom.
Space group C2/m (No. 12)
Unique sites:
Hf1 0.0116 0.0000 0.2188  1 N 2.06, 1 C 2.25
Hf2 0.1557 0.5000 0.5929  1 C 2.26
Hf3 0.1755 0.5000 0.0702  3 C 2.19-2.32
C1 0.1744 0.0000 0.0930  6 Hf 2.19-2.32
N1 0.0000 0.0000 0.5000  2 Hf 2.06

***

no.,Fermi-level density of states (states/eV per cell)
1,9.1
2,4.2
3,5.0
4,11.3